Entry 1:
Y2Sb at its PBEsol-relaxed geometry, computed with meta-GGA SCAN.

Lattice parameters (Å, degrees): 6.8321 6.8321 6.2146 90.00 90.00 144.61
Fractional coordinates of all 6 atoms:
Y  0.0000  0.0000  0.0000
Y  0.0000  0.0000  0.5000
Y  0.3018  0.6982  0.7500
Y  0.6982  0.3018  0.2500
Sb  0.3674  0.6326  0.2500
Sb  0.6326  0.3674  0.7500

formation energy (no corrections) = -0.862 eV per atom


Entry 2:
Y5Sb4 at its PBEsol-relaxed geometry, computed with meta-GGA SCAN.

Lattice parameters (Å, degrees): 9.1900 9.1900 6.3549 90.00 90.00 120.00
Fractional coordinates of all 18 atoms:
Y  0.0000  0.2736  0.2500
Y  0.0000  0.7264  0.7500
Y  0.2736  0.0000  0.2500
Y  0.2736  0.2736  0.7500
Y  0.3333  0.6667  0.0000
Y  0.3333  0.6667  0.5000
Y  0.6667  0.3333  0.0000
Y  0.6667  0.3333  0.5000
Y  0.7264  0.0000  0.7500
Y  0.7264  0.7264  0.2500
Sb  0.0000  0.0000  0.0000
Sb  0.0000  0.0000  0.5000
Sb  0.0000  0.3898  0.7500
Sb  0.0000  0.6102  0.2500
Sb  0.3898  0.0000  0.7500
Sb  0.3898  0.3898  0.2500
Sb  0.6102  0.0000  0.2500
Sb  0.6102  0.6102  0.7500

formation energy (no corrections) = -1.107 eV per atom


Entry 3:
Y2ZnSb at its PBEsol-relaxed geometry, computed with meta-GGA SCAN.

Lattice parameters (Å, degrees): 7.3840 7.3840 7.3840 33.11 33.11 33.11
Fractional coordinates of all 4 atoms:
Y  0.2504  0.2504  0.2504
Y  0.7496  0.7496  0.7496
Zn  0.0000  0.0000  0.0000
Sb  0.5000  0.5000  0.5000

distance to the lowest polymorph of the same formula = 183 meV/atom
formation energy (no corrections) = -0.673 eV per atom


Entry 4:
YZnSb2 at its PBEsol-relaxed geometry, computed with meta-GGA SCAN.

Lattice parameters (Å, degrees): 6.0005 6.0005 6.0005 138.73 138.73 59.79
Fractional coordinates of all 4 atoms:
Y  0.0000  0.0000  0.0000
Zn  0.7500  0.2500  0.5000
Sb  0.2500  0.7500  0.5000
Sb  0.5000  0.5000  0.0000

formation energy (no corrections) = -0.456 eV per atom


Entry 5:
YZnSb2 at its PBEsol-relaxed geometry, computed with meta-GGA SCAN.

Lattice parameters (Å, degrees): 3.3062 3.3062 8.8663 90.00 90.00 90.00
Fractional coordinates of all 4 atoms:
Y  0.0000  0.0000  0.0000
Zn  0.5000  0.5000  0.7798
Sb  0.0000  0.0000  0.5860
Sb  0.5000  0.5000  0.2522

formation energy (no corrections) = -0.215 eV per atom


Entry 6:
YZn2Sb at its PBEsol-relaxed geometry, computed with meta-GGA SCAN.

Lattice parameters (Å, degrees): 4.9540 4.9540 4.9540 60.00 60.00 60.00
Fractional coordinates of all 4 atoms:
Y  0.0000  0.0000  0.0000
Zn  0.5000  0.5000  0.5000
Zn  0.7500  0.7500  0.7500
Sb  0.2500  0.2500  0.2500

formation energy (no corrections) = -0.135 eV per atom


Entry 7:
YZn2Sb at its PBEsol-relaxed geometry, computed with meta-GGA SCAN.

Lattice parameters (Å, degrees): 4.2688 4.2688 4.4459 90.00 90.00 90.00
Fractional coordinates of all 4 atoms:
Y  0.0000  0.0000  0.0000
Zn  0.0000  0.5000  0.5000
Zn  0.5000  0.0000  0.5000
Sb  0.5000  0.5000  0.0000

formation energy (no corrections) = -0.462 eV per atom


Entry 8:
Y4ZnSb at its PBEsol-relaxed geometry, computed with meta-GGA SCAN.

Lattice parameters (Å, degrees): 6.1299 6.1299 6.1299 60.00 60.00 60.00
Fractional coordinates of all 6 atoms:
Y  0.1252  0.1252  0.1252
Y  0.1252  0.1252  0.6246
Y  0.1252  0.6246  0.1252
Y  0.6246  0.1252  0.1252
Zn  0.7500  0.7500  0.7500
Sb  0.5000  0.5000  0.5000

formation energy (no corrections) = 0.286 eV per atom


formation energy (no corrections) of number 5 (YZnSb2)? -0.215 eV per atom